1.
{"formula": "ZrReIr2", "functional": "PBE-GGA", "state": "relaxed", "de_polymorph_mev_per_atom": 246.2, "sg": "P4/mmm", "volume_a3_per_atom": 16.34, "lattice_angstrom": [[4.8005, 0.0000, 0.0000], [0.0000, 4.8005, 0.0000], [0.0000, 0.0000, 2.8367]], "species": ["Zr", "Re", "Ir", "Ir"], "frac_coords": [[0.0000, 0.0000, 0.0000], [0.5000, 0.5000, 0.0000], [0.0000, 0.5000, 0.5000], [0.5000, 0.0000, 0.5000]]}

---

2.
{"formula": "Mg2MoAs", "functional": "PBE-GGA", "state": "relaxed", "sg": "I-42d", "dft_energy_ev_per_atom": -4.26, "volume_a3_per_atom": 19.14, "lattice_angstrom": [[-3.8601, 3.8601, 2.5696], [3.8601, -3.8601, 2.5696], [3.8601, 3.8601, -2.5696]], "species": ["Mg", "Mg", "Mg", "Mg", "Mo", "Mo", "As", "As"], "frac_coords": [[0.0901, 0.6250, 0.9651], [0.3750, 0.3401, 0.4651], [0.6599, 0.1250, 0.0349], [0.8750, 0.9099, 0.5349], [0.2500, 0.7500, 0.5000], [0.5000, 0.5000, 0.0000], [0.0000, 0.0000, 0.0000], [0.7500, 0.2500, 0.5000]]}

---

3.
{"formula": "Zr4RhPb", "functional": "PBE-GGA", "state": "relaxed", "sg": "F-43m", "dft_energy_ev_per_atom": -7.32, "volume_a3_per_atom": 21.76, "lattice_angstrom": [[0.0000, 4.0265, 4.0265], [4.0265, 0.0000, 4.0265], [4.0265, 4.0265, 0.0000]], "species": ["Zr", "Zr", "Zr", "Zr", "Rh", "Pb"], "frac_coords": [[0.1254, 0.1254, 0.1254], [0.1254, 0.1254, 0.6238], [0.1254, 0.6238, 0.1254], [0.6238, 0.1254, 0.1254], [0.5000, 0.5000, 0.5000], [0.7500, 0.7500, 0.7500]]}